Version P
KBe3Ni: optimized geometry, PBE.

Computed properties:
- Crystal system: cubic
- Calculated density: 1.84 g cm⁻³

POSCAR file:
```
KBe3Ni
1.0
-2.1195 -1.2342 -4.1565
-1.5231 -4.1197 2.0000
-4.0595 2.1901 1.4198
Be K Ni
3 1 1
Direct
0.0000 0.0000 0.5000 Be
0.0000 0.5000 0.0000 Be
0.5000 0.0000 0.0000 Be
0.0000 0.0000 0.0000 K
0.5000 0.5000 0.5000 Ni
```


Version Q
KBe3Ni: optimized geometry, PBE.

Computed properties:
- Crystal system: cubic
- Calculated density: 2.63 g cm⁻³

POSCAR file:
```
KBe3Ni
1.0
4.2850 0.0000 0.0000
0.0000 4.2850 0.0000
0.0000 0.0000 4.2850
Ni Be K
1 3 1
Direct
0.0000 0.0000 0.0000 Ni
0.5000 0.0000 0.0000 Be
0.0000 0.0000 0.5000 Be
0.0000 0.5000 0.0000 Be
0.5000 0.5000 0.5000 K
```


Bottom line: version Q, by a margin of 217.1 kJ/mol of atoms.


Version P
KBeNi3: optimized geometry, PBE.

Computed properties:
- Crystal system: cubic
- Calculated density: 5.01 g cm⁻³

POSCAR file:
```
KBeNi3
1.0
4.2050 0.0000 0.0000
0.0000 4.2050 0.0000
0.0000 0.0000 4.2050
Ni K Be
3 1 1
Direct
0.5000 0.0000 0.0000 Ni
0.0000 0.0000 0.5000 Ni
0.0000 0.5000 0.0000 Ni
0.5000 0.5000 0.5000 K
0.0000 0.0000 0.0000 Be
```


Version Q
KBeNi3: optimized geometry, PBE.

Computed properties:
- Crystal system: cubic
- Calculated density: 4.23 g cm⁻³

POSCAR file:
```
KBeNi3
1.0
-2.2435 -2.6994 2.7350
3.6570 -0.5272 2.4795
-1.1801 3.4979 2.4843
Ni K Be
3 1 1
Direct
0.0000 0.0000 0.5000 Ni
0.5000 0.0000 0.0000 Ni
0.0000 0.5000 0.0000 Ni
0.0000 0.0000 0.0000 K
0.5000 0.5000 0.5000 Be
```


Bottom line: version P, by a margin of 162.5 kJ/mol of atoms.


Version P
KBeO: optimized geometry, PBE.

Computed properties:
- Crystal system: monoclinic
- Calculated density: 1.36 g cm⁻³

POSCAR file:
```
KBeO
1.0
8.3322 0.0000 0.7896
0.0000 5.3467 0.0000
-3.9861 0.0000 6.6296
O K Be
4 4 4
Direct
0.0000 0.2500 0.2500 O
0.0000 0.2500 0.7500 O
0.0000 0.7500 0.2500 O
0.0000 0.7500 0.7500 O
0.2260 0.5000 0.1056 K
0.7740 0.0000 0.3944 K
0.2260 0.0000 0.6056 K
0.7740 0.5000 0.8944 K
0.0000 0.0000 0.8396 Be
0.0000 0.5000 0.3396 Be
0.0000 0.0000 0.1604 Be
0.0000 0.5000 0.6604 Be
```


Version Q
KBeO: optimized geometry, PBE.

Computed properties:
- Crystal system: monoclinic
- Calculated density: 1.63 g cm⁻³

POSCAR file:
```
KBeO
1.0
4.6705 0.0152 -0.0012
-0.0146 5.0309 0.0038
-2.3301 -1.6956 5.5566
O K Be
2 2 2
Direct
0.8035 0.2882 0.0400 O
0.7029 0.7318 0.8397 O
0.3643 0.0206 0.1637 K
0.0366 0.5838 0.5070 K
0.6937 0.0234 0.8220 Be
0.7072 0.4390 0.8477 Be
```


Bottom line: version P, by a margin of 1.7 kJ/mol of atoms.


Version P
K2BeO: optimized geometry, PBE.

Computed properties:
- Crystal system: tetragonal
- Calculated density: 1.63 g cm⁻³

POSCAR file:
```
K2BeO
1.0
4.1656 0.0000 0.0000
0.0000 4.1656 0.0000
0.0000 0.0000 12.1037
K O Be
4 2 2
Direct
0.5000 0.5000 0.5392 K
0.0000 0.0000 0.0392 K
0.5000 0.5000 0.8346 K
0.0000 0.0000 0.3346 K
0.0000 0.0000 0.8225 O
0.5000 0.5000 0.3225 O
0.5000 0.5000 0.2052 Be
0.0000 0.0000 0.7052 Be
```


Version Q
K2BeO: optimized geometry, PBE.

Computed properties:
- Crystal system: triclinic
- Calculated density: 1.35 g cm⁻³

POSCAR file:
```
K2BeO
1.0
5.8697 0.0014 -0.0007
2.9174 6.5530 0.0693
2.9313 2.3045 6.6028
O Be K
2 2 4
Direct
0.6187 0.6058 0.1578 O
0.3813 0.3942 0.8422 O
0.4424 0.1673 0.9464 Be
0.5576 0.8327 0.0536 Be
0.3577 0.7598 0.5244 K
0.8608 0.3948 0.8830 K
0.6423 0.2402 0.4756 K
0.1392 0.6052 0.1170 K
```


Version R
K2BeO: optimized geometry, PBE.

Computed properties:
- Crystal system: tetragonal
- Calculated density: 1.34 g cm⁻³

POSCAR file:
```
K2BeO
1.0
-6.2262 8.9633 -6.9494
-4.9540 -9.2807 -7.5318
-6.7984 -0.2728 -6.3052
O Be K
2 2 4
Direct
0.0000 0.0000 0.0000 O
0.7500 0.2500 0.5000 O
0.5000 0.5000 0.0000 Be
0.2500 0.7500 0.5000 Be
0.9540 0.6250 0.2500 K
0.7960 0.1250 0.2500 K
0.3750 0.2040 0.7500 K
0.8750 0.0460 0.7500 K
```


Bottom line: version Q, by a margin of 4.6 kJ/mol of atoms.


Version P
K2BeO: optimized geometry, PBE.

Computed properties:
- Crystal system: cubic
- Calculated density: 1.88 g cm⁻³

POSCAR file:
```
K2BeO
1.0
0.0000 3.5699 3.5699
3.5699 0.0000 3.5699
3.5699 3.5699 0.0000
O K Be
1 2 1
Direct
0.5000 0.5000 0.5000 O
0.2500 0.2500 0.2500 K
0.7500 0.7500 0.7500 K
0.0000 0.0000 0.0000 Be
```


Version Q
K2BeO: optimized geometry, PBE.

Computed properties:
- Crystal system: monoclinic
- Calculated density: 1.58 g cm⁻³

POSCAR file:
```
K2BeO
1.0
-1.5107 4.4612 5.7884
-2.7316 -4.1677 2.4991
9.2110 -4.0524 3.3096
Be O K
4 4 8
Direct
0.2410 0.5000 0.8112 Be
0.7590 0.0000 0.6888 Be
0.7590 0.5000 0.1888 Be
0.2410 0.0000 0.3112 Be
0.3021 0.0000 0.1916 O
0.3021 0.5000 0.6916 O
0.6979 0.0000 0.8084 O
0.6979 0.5000 0.3084 O
0.0000 0.0000 0.0000 K
0.7013 0.0000 0.3384 K
0.0000 0.5000 0.5000 K
0.5000 0.0000 0.0000 K
0.7013 0.5000 0.8384 K
0.5000 0.5000 0.5000 K
0.2987 0.5000 0.1616 K
0.2987 0.0000 0.6616 K
```


Bottom line: version Q, by a margin of 110.3 kJ/mol of atoms.


Version P
K2BeO: optimized geometry, PBE.

Computed properties:
- Crystal system: monoclinic
- Calculated density: 1.41 g cm⁻³

POSCAR file:
```
K2BeO
1.0
-6.3649 5.5531 0.8408
-3.3969 -3.9716 0.5157
6.6035 -4.3349 10.1126
O K Be
4 8 4
Direct
0.7235 0.5000 0.2885 O
0.2765 0.5000 0.7115 O
0.7235 0.0000 0.7885 O
0.2765 0.0000 0.2115 O
0.8035 0.5000 0.1125 K
0.3870 0.5000 0.2656 K
0.1965 0.5000 0.8875 K
0.8035 0.0000 0.6125 K
0.3870 0.0000 0.7656 K
0.1965 0.0000 0.3875 K
0.6130 0.5000 0.7344 K
0.6130 0.0000 0.2344 K
0.1183 0.5000 0.5896 Be
0.8817 0.0000 0.9104 Be
0.1183 0.0000 0.0896 Be
0.8817 0.5000 0.4104 Be
```


Version Q
K2BeO: optimized geometry, PBE.

Computed properties:
- Crystal system: triclinic
- Calculated density: 1.26 g cm⁻³

POSCAR file:
```
K2BeO
1.0
5.6145 -0.0286 0.0340
-2.3515 7.0292 -0.1541
-1.7022 -2.1672 6.9188
O K Be
2 4 2
Direct
0.1718 0.3098 0.7036 O
0.6473 0.1108 0.0212 O
0.9070 0.7115 0.3633 K
0.6356 0.2576 0.7268 K
0.4093 0.7105 0.8616 K
0.1842 0.1640 0.9987 K
0.7789 0.1649 0.2217 Be
0.0400 0.2552 0.5030 Be
```


Version R
K2BeO: optimized geometry, PBE.

Computed properties:
- Crystal system: tetragonal
- Calculated density: 1.32 g cm⁻³

POSCAR file:
```
K2BeO
1.0
5.3021 0.0000 0.0000
0.0000 5.3021 0.0000
0.0000 0.0000 9.2270
Be K O
2 4 2
Direct
0.5000 0.5000 0.7421 Be
0.0000 0.0000 0.2421 Be
0.5000 0.0000 0.4811 K
0.0000 0.5000 0.9811 K
0.0000 0.5000 0.4811 K
0.5000 0.0000 0.9811 K
0.5000 0.5000 0.8947 O
0.0000 0.0000 0.3947 O
```


Bottom line: version Q, by a margin of 0.9 kJ/mol of atoms.


Version P
K2Be2O3: optimized geometry, PBE.

Computed properties:
- Crystal system: triclinic
- Calculated density: 2.88 g cm⁻³

POSCAR file:
```
K2Be2O3
1.0
-0.6633 -2.4026 1.7814
2.9607 0.2187 4.0293
-5.2314 1.4988 2.6798
Be O K
2 3 2
Direct
0.8684 0.3118 0.9503 Be
0.1316 0.6882 0.0497 Be
0.6073 0.6084 0.1786 O
0.3927 0.3916 0.8214 O
0.0000 0.0000 0.0000 O
0.7723 0.7963 0.6550 K
0.2277 0.2037 0.3450 K
```


Version Q
K2Be2O3: optimized geometry, PBE.

Computed properties:
- Crystal system: monoclinic
- Calculated density: 2.03 g cm⁻³

POSCAR file:
```
K2Be2O3
1.0
8.2943 0.0000 0.0000
0.0000 4.9499 0.0259
0.0000 2.7510 5.7571
Be K O
4 4 6
Direct
0.9912 0.6964 0.0039 Be
0.5088 0.6964 0.5039 Be
0.4912 0.3036 0.4961 Be
0.0088 0.3036 0.9961 Be
0.8524 0.2160 0.5746 K
0.1476 0.7840 0.4254 K
0.3524 0.7840 0.9254 K
0.6476 0.2160 0.0746 K
0.9513 0.6124 0.7974 O
0.5487 0.6124 0.2974 O
0.5000 0.0000 0.5000 O
0.4513 0.3876 0.7026 O
0.0000 0.0000 0.0000 O
0.0487 0.3876 0.2026 O
```


Bottom line: version Q, by a margin of 8.5 kJ/mol of atoms.


Version P
KBePO2: optimized geometry, PBE.

Computed properties:
- Crystal system: tetragonal
- Calculated density: 1.84 g cm⁻³

POSCAR file:
```
KBePO2
1.0
4.1058 0.0000 0.0000
0.0000 4.1058 0.0000
0.0000 0.0000 5.9334
O Be K P
2 1 1 1
Direct
0.5000 0.0000 0.0000 O
0.0000 0.5000 0.0000 O
0.5000 0.5000 0.5000 Be
0.0000 0.0000 0.0000 K
0.0000 0.0000 0.5000 P
```


Version Q
KBePO2: optimized geometry, PBE.

Computed properties:
- Crystal system: tetragonal
- Calculated density: 2.77 g cm⁻³

POSCAR file:
```
KBePO2
1.0
-1.9807 -3.1910 -1.5097
2.8215 -2.4713 1.5219
-2.1304 -0.3089 3.4480
O P Be K
2 1 1 1
Direct
0.5000 0.0000 0.0000 O
0.0000 0.5000 0.0000 O
0.0000 0.0000 0.5000 P
0.0000 0.0000 0.0000 Be
0.5000 0.5000 0.5000 K
```


Bottom line: version Q, by a margin of 165.8 kJ/mol of atoms.


Version P
K2BeOs2: optimized geometry, PBE.

Computed properties:
- Crystal system: tetragonal
- Calculated density: 5.67 g cm⁻³

POSCAR file:
```
K2BeOs2
1.0
-1.6464 3.0388 0.5694
-1.4478 -1.3277 2.9000
7.1551 4.4480 7.7239
Os K Be
2 2 1
Direct
0.7500 0.2500 0.5000 Os
0.2500 0.7500 0.5000 Os
0.6147 0.6147 0.7705 K
0.3853 0.3853 0.2295 K
0.0000 0.0000 0.0000 Be
```


Version Q
K2BeOs2: optimized geometry, PBE.

Computed properties:
- Crystal system: tetragonal
- Calculated density: 5.69 g cm⁻³

POSCAR file:
```
K2BeOs2
1.0
10.2676 0.0000 0.0000
0.0000 10.2676 0.0000
0.0000 0.0000 2.5889
Os Be K
4 2 4
Direct
0.4214 0.0786 0.5000 Os
0.0786 0.5786 0.5000 Os
0.9214 0.4214 0.5000 Os
0.5786 0.9214 0.5000 Os
0.5000 0.5000 0.0000 Be
0.0000 0.0000 0.0000 Be
0.7001 0.2001 0.0000 K
0.7999 0.7001 0.0000 K
0.2001 0.2999 0.0000 K
0.2999 0.7999 0.0000 K
```


Bottom line: version P, by a margin of 30.9 kJ/mol of atoms.


Version P
KBeP2S: optimized geometry, PBE.

Computed properties:
- Crystal system: tetragonal
- Calculated density: 1.55 g cm⁻³

POSCAR file:
```
KBeP2S
1.0
-5.0800 -1.6982 0.2554
1.4183 -4.5984 -2.3661
0.9584 -2.1516 4.7561
P S K Be
2 1 1 1
Direct
0.5000 0.0000 0.0000 P
0.0000 0.5000 0.0000 P
0.0000 0.0000 0.5000 S
0.0000 0.0000 0.0000 K
0.5000 0.5000 0.5000 Be
```


Version Q
KBeP2S: optimized geometry, PBE.

Computed properties:
- Crystal system: tetragonal
- Calculated density: 2.46 g cm⁻³

POSCAR file:
```
KBeP2S
1.0
-3.2576 2.8986 -0.1120
-1.4056 -1.4300 3.8738
2.9307 3.3830 2.3122
P K Be S
2 1 1 1
Direct
0.5000 0.0000 0.0000 P
0.0000 0.5000 0.0000 P
0.5000 0.5000 0.5000 K
0.0000 0.0000 0.0000 Be
0.0000 0.0000 0.5000 S
```


Bottom line: version Q, by a margin of 185.1 kJ/mol of atoms.


Version P
KBePb: optimized geometry, PBE.

Computed properties:
- Crystal system: cubic
- Calculated density: 4.92 g cm⁻³

POSCAR file:
```
KBePb
1.0
-1.4651 -1.6524 -4.4373
3.1674 -2.4902 -2.8867
-0.6271 -4.8588 -0.7518
K Pb Be
1 1 1
Direct
0.0000 0.0000 0.0000 K
0.5000 0.5000 0.5000 Pb
0.7500 0.7500 0.7500 Be
```


Version Q
KBePb: optimized geometry, PBE.

Computed properties:
- Crystal system: orthorhombic
- Calculated density: 4.58 g cm⁻³

POSCAR file:
```
KBePb
1.0
7.0486 0.0090 -0.0076
5.6909 3.6536 0.0053
1.3578 -0.5903 3.5965
Pb Be K
1 1 1
Direct
0.6107 0.6107 0.3893 Pb
0.0575 0.0575 0.9425 Be
0.3317 0.3317 0.6683 K
```


Bottom line: version Q, by a margin of 13.6 kJ/mol of atoms.


Version P
KBePb: optimized geometry, PBE.

Computed properties:
- Crystal system: trigonal
- Calculated density: 4.59 g cm⁻³

POSCAR file:
```
KBePb
1.0
-4.2196 -0.9664 0.5330
2.7511 -0.3115 3.3700
-1.0511 5.3347 1.3512
Pb K Be
1 1 1
Direct
0.3333 0.6667 0.8335 Pb
0.6667 0.3333 0.3338 K
0.0000 0.0000 0.8326 Be
```


Version Q
KBePb: optimized geometry, PBE.

Computed properties:
- Crystal system: orthorhombic
- Calculated density: 4.78 g cm⁻³

POSCAR file:
```
KBePb
1.0
6.8275 0.0005 0.0229
4.7369 4.9170 -0.0229
-5.6410 -2.7907 2.6469
Be Pb K
1 1 1
Direct
0.9389 0.9389 0.0000 Be
0.3923 0.3923 0.0000 Pb
0.6688 0.6688 0.0000 K
```


Bottom line: version P, by a margin of 15.6 kJ/mol of atoms.